[1]
A PBEsol-optimized structure of CrFeTe, computed with SCAN.

Uncorrected energy in hartree per atom: -0.889
D(E_F) in states/eV per atom: 0.976
Magnetization in μB per cell: 1.91

Unit cell a=3.0879 b=4.1452 c=4.1452 alpha=120.00 beta=90.00 gamma=90.00
Atoms (fractional coordinates):
Cr1 0.5000 0.0000 0.0000
Fe1 0.0000 0.6667 0.3333
Te1 0.0000 0.3333 0.6667

[2]
A PBEsol-optimized structure of ZrTiCr2Fe2, computed with SCAN.

D(E_F) in states/eV per atom: 0.917
Magnetization in μB per cell: 2.04
Calculated formation energy in eV/f.u.: -0.53

Unit cell a=4.8280 b=4.8681 c=7.7483 alpha=90.00 beta=90.00 gamma=119.73
Atoms (fractional coordinates):
Zr1 0.3339 0.6678 0.0724
Zr2 0.6664 0.3327 0.9357
Ti1 0.6665 0.3331 0.5536
Ti2 0.3343 0.6685 0.4418
Cr1 0.0014 0.0029 0.4973
Cr2 0.0002 0.0005 0.0008
Cr3 0.1692 0.8278 0.7409
Cr4 0.6586 0.8278 0.7409
Fe1 0.1709 0.3419 0.7428
Fe2 0.8302 0.1698 0.2582
Fe3 0.3395 0.1698 0.2582
Fe4 0.8294 0.6588 0.2576

[3]
A PBEsol-optimized structure of Cr2FeW, computed with SCAN.

D(E_F) in states/eV per atom: 1.020
Magnetization in μB per cell: 0.48
Calculated formation energy in eV/f.u.: 1.49

Unit cell a=3.6528 b=3.6528 c=4.4756 alpha=114.08 beta=114.08 gamma=90.00
Atoms (fractional coordinates):
Cr1 0.0000 0.0000 0.0000
Cr2 0.7500 0.2500 0.5000
Fe1 0.5000 0.5000 0.0000
W1 0.2500 0.7500 0.5000

[4]
A PBEsol-optimized structure of CrFe2W, computed with SCAN.

D(E_F) in states/eV per atom: 0.975
Magnetization in μB per cell: 4.40
Calculated formation energy in eV/f.u.: 0.74

Unit cell a=2.9577 b=4.0929 c=4.7392 alpha=115.58 beta=108.18 gamma=90.00
Atoms (fractional coordinates):
Cr1 0.2525 0.7525 0.5050
Fe1 0.9991 0.9991 0.9982
Fe2 0.7465 0.2465 0.4930
W1 0.5019 0.5019 0.0037